The following is a DFT calculation (meta-GGA SCAN) of a PBEsol-optimized structure of Tb3ZnAu5.

Unit cell a=7.358 b=8.278 c=13.215 alpha=90.00 beta=90.00 gamma=116.38
Positions (direct):
Au 0.936 0.254 0.750
Zn 0.280 0.561 0.250
Tb 0.882 0.763 0.450
Au 0.998 0.567 0.897
Au 0.569 0.567 0.603
Au 0.431 0.433 0.103
Au 0.002 0.433 0.397
Au 0.002 0.433 0.103
Au 0.257 0.944 0.895
Tb 0.074 0.148 0.250
Tb 0.926 0.852 0.750
Zn 0.534 0.069 0.750
Tb 0.370 0.739 0.462
Au 0.431 0.433 0.397
Tb 0.677 0.354 0.250
Au 0.743 0.056 0.395
Tb 0.630 0.261 0.962
Au 0.743 0.056 0.105
Au 0.318 0.254 0.750
Tb 0.118 0.237 0.550
Au 0.998 0.567 0.603
Tb 0.370 0.739 0.038
Au 0.313 0.056 0.395
Zn 0.466 0.931 0.250
Tb 0.630 0.261 0.538
Au 0.687 0.944 0.895
Tb 0.882 0.763 0.050
Zn 0.720 0.439 0.750
Au 0.682 0.746 0.250
Au 0.257 0.944 0.605
Tb 0.118 0.237 0.950
Au 0.313 0.056 0.105
Au 0.687 0.944 0.605
Au 0.064 0.746 0.250
Au 0.569 0.567 0.897
Tb 0.323 0.646 0.750

**Formation enthalpy at 0 K**: -0.99 eV per atom
**Magnetic moment**: 0.00 μB per cell

---

The following is a DFT calculation (meta-GGA SCAN) of a PBEsol-optimized structure of CrBi3Cl.

Unit cell a=5.104 b=5.104 c=5.104 alpha=90.00 beta=90.00 gamma=90.00
Each line ends with the local moment (μB).
Positions (direct):
Cl 0.500 0.500 0.500  -0.08
Bi 0.500 0.000 0.000  -0.07
Bi 0.000 0.000 0.500  -0.07
Cr 0.000 0.000 0.000  1.90
Bi 0.000 0.500 0.000  -0.07

**Magnetic moment**: 1.54 μB per cell

---

Summary of final energy in eV/atom
-56.50 -52.17
(order as listed above)